No. 1
First-principles (PBE) data for an optimized crystal structure of LiZn2O2F, as listed in Alexandria.

Output
* E_form (uncorrected): -1836 meV per atom
* total magnetic moment: 0.0000 μB/atom

Cell: 5.642 5.642 5.299 Å, 90.00 90.00 60.63°
Positions (direct):
1 Li 0.171 0.829 0.500
2 Li 0.829 0.171 0.000
3 Zn 0.171 0.469 0.018
4 Zn 0.469 0.171 0.518
5 Zn 0.531 0.829 0.018
6 Zn 0.829 0.531 0.518
7 O 0.166 0.504 0.385
8 O 0.496 0.834 0.385
9 O 0.504 0.166 0.885
10 O 0.834 0.496 0.885
11 F 0.165 0.835 0.883
12 F 0.835 0.165 0.383

=====

No. 2
First-principles (PBE) data for an optimized crystal structure of LiZnO2F, as listed in Alexandria.

Output
* E_form (uncorrected): -993 meV per atom
* total magnetic moment: 0.0009 μB/atom

Cell: 3.758 3.758 4.244 Å, 90.00 90.00 90.00°
Positions (direct):
1 Li 0.000 0.000 0.000
2 Zn 0.500 0.500 0.500
3 O 0.000 0.500 0.500
4 O 0.500 0.000 0.500
5 F 0.500 0.500 0.000

=====

No. 3
First-principles (PBE) data for an optimized crystal structure of LiZnO2F, as listed in Alexandria.

Output
* E_form (uncorrected): -604 meV per atom
* total magnetic moment: 0.0000 μB/atom

Cell: 3.556 3.556 3.791 Å, 90.00 90.00 90.00°
Positions (direct):
1 Li 0.000 0.000 0.000
2 Zn 0.500 0.500 0.500
3 O 0.000 0.500 0.000
4 O 0.500 0.000 0.000
5 F 0.000 0.000 0.500

=====

No. 4
First-principles (PBE) data for an optimized crystal structure of LiOsF2, as listed in Alexandria.

Output
* distance to the lowest polymorph of the same formula: 0.00 eV/f.u.
* E_form (uncorrected): -1691 meV per atom
* total magnetic moment: 0.0003 μB/atom

Cell: 6.564 6.564 6.564 Å, 23.95 23.95 23.95°
Positions (direct):
1 Li 0.000 0.000 0.000
2 Os 0.500 0.500 0.500
3 F 0.393 0.393 0.393
4 F 0.607 0.607 0.607

=====

No. 5
First-principles (PBE) data for an optimized crystal structure of LiOsF6, as listed in Alexandria.

Output
* E_form (uncorrected): -2092 meV per atom
* total magnetic moment: 0.3750 μB/atom

Cell: 5.186 5.186 5.018 Å, 96.01 96.01 121.94°
Positions (direct):
1 Li 0.000 0.000 0.000
2 Os 0.500 0.500 0.500
3 F 0.137 0.420 0.269
4 F 0.250 0.250 0.738
5 F 0.420 0.137 0.269
6 F 0.580 0.863 0.731
7 F 0.750 0.750 0.262
8 F 0.863 0.580 0.731

=====

No. 6
First-principles (PBE) data for an optimized crystal structure of LiOs2F, as listed in Alexandria.

Output
* distance to the lowest polymorph of the same formula: 0.00 eV/f.u.
* E_form (uncorrected): 445 meV per atom
* total magnetic moment: 0.0000 μB/atom

Cell: 6.053 6.053 6.053 Å, 95.83 95.83 142.82°
Positions (direct):
1 Li 0.000 0.000 0.000
2 Li 0.750 0.250 0.500
3 Os 0.202 0.625 0.077
4 Os 0.375 0.452 0.577
5 Os 0.548 0.125 0.923
6 Os 0.875 0.798 0.423
7 F 0.250 0.750 0.500
8 F 0.500 0.500 0.000

=====

No. 7
First-principles (PBE) data for an optimized crystal structure of LiOs2F, as listed in Alexandria.

Output
* distance to the lowest polymorph of the same formula: 2.41 eV/f.u.
* E_form (uncorrected): 1048 meV per atom
* total magnetic moment: 0.0000 μB/atom

Cell: 4.095 4.095 4.095 Å, 60.00 60.00 60.00°
Positions (direct):
1 Li 0.000 0.000 0.000
2 Os 0.250 0.250 0.250
3 Os 0.750 0.750 0.750
4 F 0.500 0.500 0.500

=====

No. 8
First-principles (PBE) data for an optimized crystal structure of LiOsF2, as listed in Alexandria.

Output
* distance to the lowest polymorph of the same formula: 3.80 eV/f.u.
* E_form (uncorrected): -740 meV per atom
* total magnetic moment: 0.2703 μB/atom

Cell: 7.730 7.730 7.730 Å, 20.08 20.08 20.08°
Positions (direct):
1 Li 0.000 0.000 0.000
2 Os 0.500 0.500 0.500
3 F 0.074 0.074 0.074
4 F 0.926 0.926 0.926

=====

No. 9
First-principles (PBE) data for an optimized crystal structure of LiOsF2, as listed in Alexandria.

Output
* distance to the lowest polymorph of the same formula: 6.39 eV/f.u.
* E_form (uncorrected): -93 meV per atom
* total magnetic moment: 0.0000 μB/atom

Cell: 4.013 4.013 4.013 Å, 60.00 60.00 60.00°
Positions (direct):
1 Li 0.000 0.000 0.000
2 Os 0.500 0.500 0.500
3 F 0.250 0.250 0.250
4 F 0.750 0.750 0.750

=====

No. 10
First-principles (PBE) data for an optimized crystal structure of Li3OsF, as listed in Alexandria.

Output
* distance to the lowest polymorph of the same formula: 0.00 eV/f.u.
* E_form (uncorrected): -350 meV per atom
* total magnetic moment: 0.4000 μB/atom

Cell: 3.918 3.918 3.918 Å, 90.00 90.00 90.00°
Positions (direct):
1 Li 0.000 0.000 0.500
2 Li 0.000 0.500 0.000
3 Li 0.500 0.000 0.000
4 Os 0.500 0.500 0.500
5 F 0.000 0.000 0.000

=====

No. 11
First-principles (PBE) data for an optimized crystal structure of LiOs2F11, as listed in Alexandria.

Output
* E_form (uncorrected): -1898 meV per atom
* total magnetic moment: 0.4286 μB/atom

Cell: 8.608 8.608 8.608 Å, 124.15 101.61 103.74°
Positions (direct):
1 Li 0.250 0.250 0.000
2 Li 0.750 0.750 0.000
3 Os 0.090 0.723 0.813
4 Os 0.410 0.223 0.633
5 Os 0.590 0.777 0.367
6 Os 0.910 0.277 0.187
7 F 0.000 0.500 0.500
8 F 0.058 0.506 0.823
9 F 0.107 0.940 0.795
10 F 0.145 0.312 0.205
11 F 0.176 0.921 0.097
12 F 0.182 0.006 0.448
13 F 0.318 0.766 0.823
14 F 0.324 0.421 0.745
15 F 0.355 0.560 0.167
16 F 0.393 0.188 0.833
17 F 0.442 0.266 0.448
18 F 0.500 0.000 0.500
19 F 0.558 0.734 0.552
20 F 0.607 0.812 0.167
21 F 0.645 0.440 0.833
22 F 0.676 0.579 0.255
23 F 0.682 0.234 0.177
24 F 0.818 0.994 0.552
25 F 0.824 0.079 0.903
26 F 0.855 0.688 0.795
27 F 0.893 0.060 0.205
28 F 0.942 0.494 0.177

=====

No. 12
First-principles (PBE) data for an optimized crystal structure of Li3OsF, as listed in Alexandria.

Output
* distance to the lowest polymorph of the same formula: 4.46 eV/f.u.
* E_form (uncorrected): 541 meV per atom
* total magnetic moment: 0.4000 μB/atom

Cell: 4.943 4.943 4.943 Å, 90.00 90.00 90.00°
Positions (direct):
1 Li 0.000 0.000 0.500
2 Li 0.000 0.500 0.000
3 Li 0.500 0.000 0.000
4 Os 0.000 0.000 0.000
5 F 0.500 0.500 0.500

=====

> Which value of total magnetic moment does entry 9 give?

0.0000 μB/atom

=====

Copy entry 7 word for word.
First-principles (PBE) data for an optimized crystal structure of LiOs2F, as listed in Alexandria.

Output
* distance to the lowest polymorph of the same formula: 2.41 eV/f.u.
* E_form (uncorrected): 1048 meV per atom
* total magnetic moment: 0.0000 μB/atom

Cell: 4.095 4.095 4.095 Å, 60.00 60.00 60.00°
Positions (direct):
1 Li 0.000 0.000 0.000
2 Os 0.250 0.250 0.250
3 Os 0.750 0.750 0.750
4 F 0.500 0.500 0.500

=====

> Which value of total magnetic moment does entry 4 give?

0.0003 μB/atom